1.
A relaxed Sm3Ho5Tm3 crystal. Source: Alexandria via LeMat-Bulk, functional PBE.

a = 11.0993 Å, b = 11.0993 Å, c = 3.4107 Å
α = 90.00°, β = 90.00°, γ = 120.00°
Last column: nearest neighbours and their distance in Å.
Space group P-62m (No. 189)
Symmetry-distinct sites (fractional):
Sm1 0.0000 0.6599 0.0000 [3 per cell]  4 Ho 3.27-3.66, 2 Tm 3.29, 2 Sm 3.41
Ho1 0.0000 0.1600 0.0000 [3 per cell]  4 Ho 3.08-3.41, 2 Tm 3.23, 2 Sm 3.27
Ho2 0.3333 0.6667 0.0000 [2 per cell]  2 Ho 3.41, 3 Sm 3.66, 6 Tm 3.77
Tm1 0.0000 0.4067 0.5000 [3 per cell]  2 Ho 3.23, 2 Sm 3.29, 2 Tm 3.41

energy of formation from the pure elements = 0.347 eV per atom

---

2.
A relaxed Tb6CeDy2Ho3 crystal. Source: Alexandria via LeMat-Bulk, functional PBE.

a = 6.1451 Å, b = 10.6402 Å, c = 11.7603 Å
α = 90.00°, β = 100.02°, γ = 90.00°
Last column: nearest neighbours and their distance in Å.
Space group C2/m (No. 12)
Symmetry-distinct sites (fractional):
Tb1 0.2480 0.0000 0.2494 [4 per cell]  6 Tb 3.53-3.56, 3 Ho 3.54-3.55, 1 Ce 3.55, 2 Dy 3.55
Tb2 0.2492 0.1657 0.7504 [8 per cell]  6 Tb 3.53-3.56, 3 Ho 3.54-3.55, 1 Ce 3.54, 2 Dy 3.55
Ce1 0.0000 0.0000 0.5000 [2 per cell]  6 Tb 3.54-3.55, 6 Dy 3.55
Dy1 0.0000 0.3334 0.5000 [4 per cell]  3 Dy 3.54-3.55, 3 Ce 3.55, 6 Tb 3.55
Ho1 0.0000 0.1673 0.0000 [4 per cell]  6 Tb 3.54-3.55, 6 Ho 3.54-3.56
Ho2 0.0000 0.5000 0.0000 [2 per cell]  6 Tb 3.54-3.55, 6 Ho 3.54-3.55

energy of formation from the pure elements = 0.035 eV per atom

---

3.
A relaxed Pm3TlH crystal. Source: Alexandria via LeMat-Bulk, functional PBE.

a = 8.9335 Å, b = 3.7848 Å, c = 15.1458 Å
α = 90.00°, β = 90.00°, γ = 90.00°
Last column: nearest neighbours and their distance in Å.
Space group Pnma (No. 62)
Symmetry-distinct sites (fractional):
Pm1 0.0191 0.2500 0.1005 [4 per cell]  3 H 2.59-2.62
Pm2 0.1680 0.2500 0.5096 [4 per cell]  2 H 2.58
Pm3 0.1877 0.7500 0.3108 [4 per cell]  1 H 2.52
Tl1 0.1140 0.7500 0.6818 [4 per cell]  8 Pm 3.25-3.50
H1 0.1625 0.2500 0.9518 [4 per cell]  6 Pm 2.52-2.62

relative energy among the computed polymorphs = 6 meV per atom